Material: Nd5Dy12Y2
Method: DFT, PBE-GGA
State: optimized geometry

a b c (Å): 7.0534 9.8387 10.4761
angles (deg): 70.53 90.00 111.01
Closest atoms and distances in Å follow each position.
Element x y z (fractional)
Dy 0.5025 0.0050 0.3254  7 Dy 3.37-3.69
Nd 0.1878 0.3755 0.8174  5 Dy 3.29-3.58, 2 Nd 3.55
Nd 0.8122 0.6245 0.1826  5 Dy 3.29-3.58, 2 Nd 3.55
Dy 0.5837 0.6733 0.5222  6 Dy 3.38-3.67, 3 Nd 3.43-3.75
Dy 0.9112 0.3169 0.1304  6 Dy 3.37-3.67, 3 Nd 3.54-3.77, 1 Y 3.63
Nd 0.0000 0.0000 0.5000  2 Dy 2.83
Dy 0.5944 0.6831 0.8696  6 Dy 3.37-3.67, 3 Nd 3.54-3.77, 1 Y 3.63
Dy 0.0256 0.0513 0.7512  1 Nd 2.83, 2 Y 3.12
Dy 0.0888 0.6831 0.8696  6 Dy 3.37-3.67, 3 Nd 3.54-3.77, 1 Y 3.63
Y 0.2700 0.0000 0.0000  2 Dy 3.12, 1 Y 3.25
Dy 0.0895 0.6733 0.5222  6 Dy 3.38-3.67, 3 Nd 3.43-3.75
Nd 0.6810 0.3620 0.7887  2 Nd 3.55, 2 Y 3.65, 9 Dy 3.67-3.96
Y 0.7300 0.0000 0.0000  2 Dy 3.12, 1 Y 3.25
Dy 0.9105 0.3267 0.4778  6 Dy 3.38-3.67, 3 Nd 3.43-3.75
Dy 0.9744 0.9487 0.2488  1 Nd 2.83, 2 Y 3.12
Dy 0.4975 0.9950 0.6746  7 Dy 3.37-3.69
Dy 0.4056 0.3169 0.1304  6 Dy 3.37-3.67, 3 Nd 3.54-3.77, 1 Y 3.63
Dy 0.4163 0.3267 0.4778  6 Dy 3.38-3.67, 3 Nd 3.43-3.75
Nd 0.3190 0.6380 0.2113  2 Nd 3.55, 2 Y 3.65, 9 Dy 3.67-3.96

Results
size of the total moment: 0.00 μB/atom
V: 33.4 Å³ per atom
E: -88.61 eV/cell